[1]
VASP calculation (GGA-PBEsol) on CsHfH2 after structural relaxation.

Cell and atoms, written as extended XYZ:
```
4
Lattice="0.0000 3.1631 3.1631 3.1631 0.0000 3.1631 3.1631 3.1631 0.0000" Properties=species:S:1:pos:R:3 pbc="T T T"
Cs 0.0000 0.0000 0.0000
Hf 3.1631 3.1631 3.1631
H 1.5815 1.5815 1.5815
H 4.7446 4.7446 4.7446
```

## Properties
VASP energy   -13.46 eV per cell

---

[2]
VASP calculation (GGA-PBEsol) on Cs2HgH2 after structural relaxation.

Cell and atoms, written as extended XYZ:
```
10
Lattice="8.3329 0.0000 0.0000 0.0000 8.3329 0.0000 0.0000 0.0000 3.8617" Properties=species:S:1:pos:R:3 pbc="T T T"
Cs 1.2795 2.8869 0.0000
Cs 2.8869 7.0533 0.0000
Cs 5.4460 1.2795 0.0000
Cs 7.0533 5.4460 0.0000
Hg 0.0000 0.0000 1.9309
Hg 4.1664 4.1664 1.9309
H 1.2268 5.3932 1.9309
H 2.9396 1.2268 1.9309
H 5.3932 7.1061 1.9309
H 7.1061 2.9396 1.9309
```

## Properties
VASP energy   -18.85 eV per cell

---

[3]
VASP calculation (GGA-PBEsol) on CsHg2H2 after structural relaxation.

Cell and atoms, written as extended XYZ:
```
5
Lattice="-2.2425 2.2425 4.9904 2.2425 -2.2425 4.9904 2.2425 2.2425 -4.9904" Properties=species:S:1:pos:R:3 pbc="T T T"
Cs 0.0000 0.0000 0.0000
Hg 0.0000 0.0000 3.4114
Hg 0.0000 0.0000 6.5693
H 2.2425 0.0000 2.4952
H 0.0000 2.2425 2.4952
```

## Properties
VASP energy   -8.00 eV per cell

---

[4]
VASP calculation (GGA-PBEsol) on Cs2HI after structural relaxation.

Cell and atoms, written as extended XYZ:
```
8
Lattice="-4.3627 4.3627 4.5249 4.3627 -4.3627 4.5249 4.3627 4.3627 -4.5249" Properties=species:S:1:pos:R:3 pbc="T T T"
Cs 6.5440 1.5040 -1.1312
Cs 1.5040 2.1813 1.1312
Cs -2.1813 2.8586 3.3936
Cs 2.8586 2.1813 5.6561
H 0.0000 0.0000 0.0000
H 0.0000 4.3627 2.2624
I 4.3627 0.0000 2.2624
I 0.0000 0.0000 4.5249
```

## Properties
VASP energy   -20.26 eV per cell

---

[5]
VASP calculation (GGA-PBEsol) on CsHIN2 after structural relaxation.

Cell and atoms, written as extended XYZ:
```
5
Lattice="6.6049 0.0000 0.0000 0.0000 6.6049 0.0000 0.0000 0.0000 7.0379" Properties=species:S:1:pos:R:3 pbc="T T T"
Cs 0.0000 0.0000 0.0000
H 3.3025 3.3025 3.5190
I 0.0000 0.0000 3.5190
N 0.0000 3.3025 0.0000
N 3.3025 0.0000 0.0000
```

## Properties
VASP energy   -12.31 eV per cell

---

[6]
VASP calculation (GGA-PBEsol) on CsSb2HI after structural relaxation.

Cell and atoms, written as extended XYZ:
```
5
Lattice="4.6985 0.0000 0.0000 0.0000 4.6985 0.0000 0.0000 0.0000 6.9864" Properties=species:S:1:pos:R:3 pbc="T T T"
Cs 0.0000 0.0000 0.0000
Sb 0.0000 2.3492 3.4932
Sb 2.3492 0.0000 3.4932
H 2.3492 2.3492 3.4932
I 2.3492 2.3492 0.0000
```

## Properties
VASP energy   -14.75 eV per cell